Record 1
This record from Alexandria describes a geometry-optimized Zn2WBr structure. The functional is GGA-PBE.

abc: 4.818 4.818 6.613
angles: 78.29 78.29 36.46
Last column: magnetic moment on the atom in μB.
Atoms (fractional coordinates):
Br 0.383 0.383 0.527  0.01
Zn 0.283 0.283 0.168  0.00
Zn 0.044 0.044 0.961  0.01
W 0.790 0.790 0.844  0.26

Values from the calculation:
excess energy over the best structure of this formula in the dataset = 52 meV per atom
density of states at the Fermi level = 2.963 states/eV/cell
space group = Cm (8)
mass density = 7.35 g cm⁻³

---

Record 2
This record from Alexandria describes a geometry-optimized Ca2CdRe structure. The functional is GGA-PBE.

abc: 5.171 5.171 6.458
angles: 84.80 84.80 33.20
Atoms (fractional coordinates):
Cd 0.750 0.750 0.750
Ca 0.506 0.506 0.480
Ca 0.994 0.994 0.020
Re 0.250 0.250 0.250

Values from the calculation:
ΔE_f = 0.662 eV/atom
density of states at the Fermi level = 4.105 states/eV/cell
space group = C2/m (12)
mass density = 6.68 g cm⁻³

---

Record 3
This record from Alexandria describes a geometry-optimized Sm4PdPt structure. The functional is GGA-PBE.

abc: 6.973 6.973 8.352
angles: 114.67 114.67 90.00
Atoms (fractional coordinates):
Sm 0.449 0.949 0.259
Sm 0.690 0.551 0.741
Sm 0.190 0.690 0.741
Sm 0.310 0.449 0.259
Sm 0.810 0.310 0.259
Sm 0.051 0.190 0.741
Sm 0.551 0.051 0.741
Sm 0.949 0.810 0.259
Pd 0.500 0.500 0.000
Pd 0.000 0.000 0.000
Pt 0.750 0.750 0.500
Pt 0.250 0.250 0.500

Values from the calculation:
ΔE_f = -0.616 eV/atom
excess energy over the best structure of this formula in the dataset = 0 meV per atom
density of states at the Fermi level = 10.273 states/eV/cell
space group = I4/mcm (140)
mass density = 9.15 g cm⁻³

---

Record 4
This record from Alexandria describes a geometry-optimized La3Dy6Er2Tm structure. The functional is GGA-PBE.

abc: 6.211 6.211 11.865
angles: 95.01 95.01 120.01
Atoms (fractional coordinates):
Er 0.333 0.667 0.000
Er 0.667 0.333 0.000
Dy 0.586 0.919 0.757
Dy 0.081 0.414 0.243
Dy 0.414 0.081 0.243
Dy 0.747 0.747 0.243
Dy 0.919 0.586 0.757
Dy 0.253 0.253 0.757
Tm 0.000 0.000 0.000
La 0.167 0.833 0.500
La 0.500 0.500 0.500
La 0.833 0.167 0.500

Values from the calculation:
ΔE_f = 0.025 eV/atom
density of states at the Fermi level = 17.091 states/eV/cell
space group = C2/m (12)
mass density = 8.07 g cm⁻³

---

Record 5
This record from Alexandria describes a geometry-optimized Mn2TcAu structure. The functional is GGA-PBE.

abc: 2.812 2.812 7.316
angles: 90.00 90.00 90.00
Last column: magnetic moment on the atom in μB.
Atoms (fractional coordinates):
Mn 0.500 0.500 0.259  0.56
Mn 0.000 0.000 0.030  3.46
Tc 0.000 0.000 0.455  0.02
Au 0.500 0.500 0.757  0.08

Values from the calculation:
ΔE_f = 0.159 eV/atom
density of states at the Fermi level = 3.136 states/eV/cell
space group = P4mm (99)
mass density = 11.62 g cm⁻³

---

Record 6
This record from Alexandria describes a geometry-optimized NaThNi4 structure. The functional is GGA-PBE.

abc: 5.047 5.047 5.047
angles: 60.00 60.00 60.00
Atoms (fractional coordinates):
Ni 0.626 0.626 0.123
Ni 0.626 0.123 0.626
Ni 0.626 0.626 0.626
Ni 0.123 0.626 0.626
Th 0.250 0.250 0.250
Na 0.000 0.000 0.000

Values from the calculation:
ΔE_f = -0.211 eV/atom
density of states at the Fermi level = 5.942 states/eV/cell
space group = F-43m (216)
mass density = 8.95 g cm⁻³

---

Record 7
This record from Alexandria describes a geometry-optimized Sc2AsPb structure. The functional is GGA-PBE.

abc: 5.185 5.185 5.185
angles: 126.22 126.22 79.52
Last column: magnetic moment on the atom in μB.
Atoms (fractional coordinates):
As 0.250 0.750 0.500  -0.01
Sc 0.500 0.500 0.000  0.20
Sc 0.000 0.000 0.000  0.20
Pb 0.750 0.250 0.500  -0.01

Values from the calculation:
ΔE_f = -0.496 eV/atom
excess energy over the best structure of this formula in the dataset = 381 meV per atom
density of states at the Fermi level = 3.797 states/eV/cell
space group = I4/mmm (139)
mass density = 7.05 g cm⁻³

---

Record 8
This record from Alexandria describes a geometry-optimized ZnSiRh2 structure. The functional is GGA-PBE.

abc: 4.799 4.799 4.288
angles: 76.04 76.04 34.74
Atoms (fractional coordinates):
Rh 0.004 0.004 0.932
Rh 0.237 0.237 0.328
Zn 0.751 0.751 0.815
Si 0.508 0.508 0.425

Values from the calculation:
excess energy over the best structure of this formula in the dataset = 145 meV per atom
density of states at the Fermi level = 1.881 states/eV/cell
space group = Cm (8)
mass density = 9.13 g cm⁻³

---

Record 9
This record from Alexandria describes a geometry-optimized PuNi3As2 structure. The functional is GGA-PBE.

abc: 3.839 7.576 7.575
angles: 63.99 75.32 75.32
Last column: magnetic moment on the atom in μB.
Atoms (fractional coordinates):
Ni 0.000 0.650 0.350  0.01
Ni 0.681 0.516 0.121  -0.01
Ni 0.000 0.350 0.650  0.01
Ni 0.681 0.121 0.516  -0.01
Ni 0.319 0.484 0.879  -0.01
Ni 0.319 0.879 0.484  -0.01
As 0.500 0.196 0.804  -0.05
As 0.172 0.328 0.328  0.00
As 0.500 0.804 0.196  -0.05
As 0.828 0.672 0.672  0.00
Pu 0.869 0.131 0.131  5.09
Pu 0.131 0.869 0.869  5.09

Values from the calculation:
ΔE_f = -0.345 eV/atom
density of states at the Fermi level = 22.844 states/eV/cell
space group = Immm (71)
mass density = 10.02 g cm⁻³

---

Record 10
This record from Alexandria describes a geometry-optimized Pr3Nd2In2 structure. The functional is GGA-PBE.

abc: 4.829 3.605 12.908
angles: 90.00 79.22 90.00
Atoms (fractional coordinates):
Pr 0.000 0.000 0.000
Pr 0.864 0.000 0.272
Pr 0.136 0.000 0.728
In 0.570 0.500 0.861
In 0.430 0.500 0.139
Nd 0.710 0.500 0.580
Nd 0.290 0.500 0.420

Values from the calculation:
ΔE_f = -0.179 eV/atom
excess energy over the best structure of this formula in the dataset = 79 meV per atom
density of states at the Fermi level = 7.685 states/eV/cell
space group = Cmmm (65)
mass density = 7.08 g cm⁻³

---

Record 11
This record from Alexandria describes a geometry-optimized Tb2TlPb4 structure. The functional is GGA-PBE.

abc: 6.776 6.776 6.704
angles: 120.40 120.40 89.62
Atoms (fractional coordinates):
Tb 0.786 0.286 0.571
Tb 0.286 0.786 0.571
Pb 0.786 0.286 0.071
Pb 0.286 0.286 0.071
Pb 0.786 0.786 0.072
Pb 0.286 0.786 0.071
Tl 0.786 0.786 0.571

Values from the calculation:
ΔE_f = -0.237 eV/atom
excess energy over the best structure of this formula in the dataset = 0 meV per atom
density of states at the Fermi level = 4.665 states/eV/cell
space group = C2/m (12)
mass density = 10.40 g cm⁻³

---

Record 12
This record from Alexandria describes a geometry-optimized Te2ICl8 structure. The functional is GGA-PBE.

abc: 6.908 6.908 9.184
angles: 101.12 101.12 71.55
Last column: magnetic moment on the atom in μB.
Atoms (fractional coordinates):
Cl 0.314 0.314 0.855  0.00
Cl 0.686 0.686 0.145  0.00
Cl 0.205 0.597 0.286  0.01
Cl 0.403 0.795 0.714  0.01
Cl 0.156 0.156 0.477  0.00
Cl 0.795 0.403 0.714  0.01
Cl 0.597 0.205 0.286  0.01
Cl 0.844 0.844 0.523  0.00
I 0.000 0.000 0.000  0.09
Te 0.892 0.892 0.276  0.00
Te 0.108 0.108 0.724  0.00

Values from the calculation:
E = -2.465 eV per atom
density of states at the Fermi level = 7.073 states/eV/cell
space group = C2/m (12)
mass density = 2.74 g cm⁻³

---

Record 13
This record from Alexandria describes a geometry-optimized SrNpTeO6 structure. The functional is GGA-PBE.

abc: 5.731 5.731 10.509
angles: 90.00 90.00 120.00
Last column: magnetic moment on the atom in μB.
Atoms (fractional coordinates):
O 0.629 0.989 0.355  -0.04
O 0.371 0.011 0.645  -0.04
O 0.640 0.629 0.645  -0.04
O 0.011 0.640 0.355  -0.04
O 0.360 0.371 0.355  -0.04
O 0.989 0.629 0.855  -0.04
O 0.640 0.011 0.855  -0.04
O 0.989 0.360 0.645  -0.04
O 0.629 0.640 0.145  -0.04
O 0.371 0.360 0.855  -0.04
O 0.360 0.989 0.145  -0.04
O 0.011 0.371 0.145  -0.04
Sr 0.000 0.000 0.000  0.00
Sr 0.000 0.000 0.500  0.00
Np 0.333 0.667 0.250  1.24
Np 0.667 0.333 0.750  1.24
Te 0.333 0.667 0.750  -0.01
Te 0.667 0.333 0.250  -0.01

Values from the calculation:
E = -7.550 eV per atom
space group = P-31c (163)
mass density = 6.09 g cm⁻³

---

Record 14
This record from Alexandria describes a geometry-optimized SmDySe2 structure. The functional is GGA-PBE.

abc: 4.113 4.113 7.168
angles: 73.20 73.20 60.24
Atoms (fractional coordinates):
Sm 0.500 0.500 0.500
Dy 0.000 0.000 0.000
Se 0.747 0.747 0.759
Se 0.253 0.253 0.241

Values from the calculation:
excess energy over the best structure of this formula in the dataset = 0 meV per atom
density of states at the Fermi level = 1.898 states/eV/cell
space group = C2/m (12)
mass density = 7.88 g cm⁻³

---

Record 15
This record from Alexandria describes a geometry-optimized Dy2GaIr3 structure. The functional is GGA-PBE.

abc: 5.551 5.551 8.143
angles: 90.00 90.00 120.00
Atoms (fractional coordinates):
Dy 0.667 0.333 0.063
Dy 0.667 0.333 0.437
Dy 0.333 0.667 0.563
Dy 0.333 0.667 0.937
Ir 0.171 0.342 0.250
Ir 0.171 0.829 0.250
Ir 0.658 0.829 0.250
Ir 0.829 0.658 0.750
Ir 0.342 0.171 0.750
Ir 0.829 0.171 0.750
Ga 0.000 0.000 0.000
Ga 0.000 0.000 0.500

Values from the calculation:
ΔE_f = -0.840 eV/atom
density of states at the Fermi level = 6.434 states/eV/cell
space group = P6_3/mmc (194)
mass density = 14.85 g cm⁻³

---

Record 16
This record from Alexandria describes a geometry-optimized Dy3RuO6 structure. The functional is GGA-PBE.

abc: 6.501 6.501 6.501
angles: 98.00 98.00 98.00
Last column: magnetic moment on the atom in μB.
Atoms (fractional coordinates):
Dy 0.715 0.400 0.887  0.01
Dy 0.113 0.285 0.600  0.01
Dy 0.400 0.887 0.715  0.01
Dy 0.600 0.113 0.285  0.01
Dy 0.285 0.600 0.113  0.01
Dy 0.887 0.715 0.400  0.01
O 0.194 0.580 0.436  0.00
O 0.436 0.194 0.580  0.00
O 0.580 0.436 0.194  0.00
O 0.939 0.694 0.054  0.05
O 0.061 0.306 0.946  0.05
O 0.306 0.946 0.061  0.05
O 0.054 0.939 0.694  0.05
O 0.420 0.564 0.806  0.00
O 0.694 0.054 0.939  0.05
O 0.564 0.806 0.420  0.00
O 0.946 0.061 0.306  0.05
O 0.806 0.420 0.564  0.00
Ru 0.500 0.500 0.500  0.03
Ru 0.000 0.000 0.000  1.50

Values from the calculation:
E = -8.134 eV per atom
density of states at the Fermi level = 5.359 states/eV/cell
space group = R-3 (148)
mass density = 8.55 g cm⁻³

---

Record 17
This record from Alexandria describes a geometry-optimized Pm3Y4In4 structure. The functional is GGA-PBE.

abc: 5.310 7.075 9.892
angles: 110.95 105.57 90.00
Atoms (fractional coordinates):
Pm 0.898 0.898 0.796
Pm 0.000 0.500 0.000
Pm 0.102 0.102 0.204
In 0.177 0.677 0.354
In 0.823 0.323 0.646
In 0.500 0.787 0.000
In 0.500 0.213 0.000
Y 0.679 0.444 0.358
Y 0.679 0.914 0.358
Y 0.321 0.556 0.642
Y 0.321 0.086 0.642

Values from the calculation:
ΔE_f = -0.296 eV/atom
density of states at the Fermi level = 11.380 states/eV/cell
space group = Immm (71)
mass density = 6.24 g cm⁻³

---

Record 18
This record from Alexandria describes a geometry-optimized ScTiS3 structure. The functional is GGA-PBE.

abc: 6.142 6.223 6.158
angles: 80.58 70.64 60.43
Atoms (fractional coordinates):
Sc 0.163 0.673 0.000
Sc 0.837 0.327 0.000
Ti 0.659 0.681 0.500
Ti 0.341 0.319 0.500
S 0.583 0.344 0.736
S 0.417 0.656 0.264
S 0.927 0.656 0.736
S 0.073 0.344 0.264
S 0.737 0.000 0.255
S 0.263 0.000 0.745

Values from the calculation:
excess energy over the best structure of this formula in the dataset = 0 meV per atom
density of states at the Fermi level = 4.759 states/eV/cell
space group = C2/m (12)
mass density = 3.25 g cm⁻³

---

Record 19
This record from Alexandria describes a geometry-optimized Fe2Ir7Rh2 structure. The functional is GGA-PBE.

abc: 4.653 6.109 6.109
angles: 80.64 97.19 97.19
Last column: magnetic moment on the atom in μB.
Atoms (fractional coordinates):
Ir 0.741 0.048 0.402  -0.01
Ir 0.259 0.952 0.598  -0.01
Ir 0.741 0.402 0.048  -0.01
Ir 0.259 0.598 0.952  -0.01
Ir 0.269 0.542 0.542  -0.03
Ir 0.731 0.458 0.458  -0.03
Ir 0.500 0.000 0.000  0.03
Fe 0.000 0.193 0.807  2.92
Fe 0.000 0.807 0.193  2.92
Rh 0.242 0.233 0.233  0.12
Rh 0.758 0.767 0.767  0.12

Values from the calculation:
ΔE_f = 0.314 eV/atom
excess energy over the best structure of this formula in the dataset = 54 meV per atom
density of states at the Fermi level = 12.487 states/eV/cell
space group = C2/m (12)
mass density = 16.34 g cm⁻³

---

Record 20
This record from Alexandria describes a geometry-optimized Al3PdSe structure. The functional is GGA-PBE.

abc: 4.772 4.772 4.772
angles: 90.00 90.00 90.00
Atoms (fractional coordinates):
Al 0.500 0.000 0.000
Al 0.000 0.000 0.500
Al 0.000 0.500 0.000
Se 0.500 0.500 0.500
Pd 0.000 0.000 0.000

Values from the calculation:
excess energy over the best structure of this formula in the dataset = 0 meV per atom
density of states at the Fermi level = 3.908 states/eV/cell
space group = Pm-3m (221)
mass density = 4.07 g cm⁻³

---

Record 21
This record from Alexandria describes a geometry-optimized BaMgOs2Se structure. The functional is GGA-PBE.

abc: 4.745 5.083 4.745
angles: 90.00 90.00 90.00
Atoms (fractional coordinates):
Os 0.500 0.000 0.000
Os 0.000 0.000 0.500
Ba 0.500 0.500 0.500
Se 0.000 0.000 0.000
Mg 0.000 0.500 0.000

Values from the calculation:
E = -5.019 eV per atom
density of states at the Fermi level = 2.789 states/eV/cell
space group = P4/mmm (123)
mass density = 9.01 g cm⁻³

---

Record 22
This record from Alexandria describes a geometry-optimized Tc2AsO structure. The functional is GGA-PBE.

abc: 5.288 5.288 5.915
angles: 63.45 63.45 90.00
Atoms (fractional coordinates):
Tc 0.194 0.625 0.250
Tc 0.375 0.444 0.750
Tc 0.556 0.125 0.250
Tc 0.875 0.806 0.750
O 0.500 0.500 0.000
O 0.250 0.750 0.500
As 0.000 0.000 0.000
As 0.750 0.250 0.500

Values from the calculation:
excess energy over the best structure of this formula in the dataset = 0 meV per atom
density of states at the Fermi level = 6.504 states/eV/cell
space group = I-42d (122)
mass density = 7.44 g cm⁻³

---

Record 23
This record from Alexandria describes a geometry-optimized KP2Os structure. The functional is GGA-PBE.

abc: 6.380 6.380 6.380
angles: 37.13 37.13 37.13
Atoms (fractional coordinates):
P 0.550 0.550 0.550
P 0.950 0.950 0.950
Os 0.250 0.250 0.250
K 0.750 0.750 0.750

Values from the calculation:
ΔE_f = -0.131 eV/atom
excess energy over the best structure of this formula in the dataset = 30 meV per atom
density of states at the Fermi level = 3.650 states/eV/cell
space group = R-3m (166)
mass density = 5.70 g cm⁻³

---

Record 24
This record from Alexandria describes a geometry-optimized Mn2AlRu structure. The functional is GGA-PBE.

abc: 8.566 8.566 8.566
angles: 17.80 17.80 17.80
Last column: magnetic moment on the atom in μB.
Atoms (fractional coordinates):
Mn 0.000 0.000 0.000  1.41
Mn 0.500 0.500 0.500  1.41
Al 0.750 0.750 0.750  -0.02
Ru 0.250 0.250 0.250  -0.05

Values from the calculation:
ΔE_f = 0.046 eV/atom
density of states at the Fermi level = 3.914 states/eV/cell
space group = R-3m (166)
mass density = 7.70 g cm⁻³